Entry 1:
The following is a GGA-PBE calculation of an optimized crystal structure of CdSeBr, from Alexandria.

Properties
Uncorrected formation energy (eV/atom): -0.108
Mass density (g/cm³): 5.44
DOS at the Fermi energy (states/eV/atom): 0.4917
Raw total energy (eV per cell): -6.40

Cell lengths 7.6339, 7.6339, 7.6339 Å; angles 154.43, 154.43, 36.48 degrees
Last column: nearest neighbours and their distance in Å.
Element x y z (fractional)
1 Cd 0.0000 0.0000 0.0000  4 Br 2.97, 4 Se 3.03
2 Se 0.6280 0.6280 0.0000  4 Cd 3.03, 4 Se 3.38
3 Br 0.3789 0.3789 0.0000  4 Cd 2.97

Entry 2:
The following is a GGA-PBE calculation of an optimized crystal structure of Ba2SrRh, from Alexandria.

Properties
Energy of formation from the pure elements (eV/atom): -0.047
Mass density (g/cm³): 4.58
DOS at the Fermi energy (states/eV/atom): 0.9093
Raw total energy (eV per cell): -13.07

Cell lengths 7.6661, 7.6661, 7.6661 Å; angles 149.50, 131.94, 57.99 degrees
Last column: nearest neighbours and their distance in Å.
Element x y z (fractional)
1 Ba 0.0000 0.0000 0.0000  2 Rh 3.04
2 Ba 0.6687 0.1687 0.5000  4 Rh 3.72, 2 Sr 3.84, 4 Ba 3.86-4.03
3 Sr 0.3353 0.3353 0.0000  2 Rh 2.99
4 Rh 0.1701 0.6701 0.5000  2 Sr 2.99, 2 Ba 3.04

Entry 3:
The following is a GGA-PBE calculation of an optimized crystal structure of TlIn2Hg5, from Alexandria.

Properties
Energy of formation from the pure elements (eV/atom): 0.008
Mass density (g/cm³): 10.83
DOS at the Fermi energy (states/eV/atom): 0.4107
Raw total energy (eV per cell): -9.29

Cell lengths 6.4364, 6.5242, 6.5984 Å; angles 61.94, 66.17, 70.89 degrees
Last column: nearest neighbours and their distance in Å.
Element x y z (fractional)
1 Tl 0.0000 0.0000 0.0000  10 Hg 3.22-3.56
2 In 0.4994 0.4997 0.4991  8 Hg 3.22-3.57, 2 In 3.30
3 In 0.4995 0.4995 0.9992  8 Hg 3.22-3.57, 2 In 3.30
4 Hg 0.9995 0.0001 0.5002  8 Hg 3.22-3.56, 2 Tl 3.30
5 Hg 0.5001 0.9996 0.9997  2 Tl 3.22, 4 In 3.26-3.38, 4 Hg 3.30-3.56
6 Hg 0.4996 0.9997 0.4998  4 Hg 3.22-3.30, 4 In 3.26-3.38, 2 Tl 3.56
7 Hg 0.9991 0.5000 0.0007  4 In 3.22-3.57, 2 Tl 3.26, 4 Hg 3.30-3.38
8 Hg 0.9990 0.5003 0.5005  4 In 3.22-3.57, 4 Hg 3.26-3.30, 2 Tl 3.38

Entry 4:
The following is a GGA-PBE calculation of an optimized crystal structure of HgSO6, from Alexandria.

Properties
Uncorrected formation energy (eV/atom): 0.034
Mass density (g/cm³): 4.68
DOS at the Fermi energy (states/eV/atom): 0.3298
Raw total energy (eV per cell): -33.90

Cell lengths 5.1034, 5.1034, 5.1711 Å; angles 110.16, 110.16, 92.31 degrees
Last column: nearest neighbours and their distance in Å.
Element x y z (fractional)
1 Hg 0.0000 0.0000 0.0000  2 O 2.08
2 S 0.5000 0.5000 0.5000  6 O 1.59-1.67
3 O 0.2462 0.2462 0.4441  1 S 1.67
4 O 0.2855 0.5894 0.2523  1 S 1.59
5 O 0.4106 0.7145 0.7477  1 S 1.59
6 O 0.5894 0.2855 0.2523  1 S 1.59
7 O 0.7145 0.4106 0.7477  1 S 1.59
8 O 0.7538 0.7538 0.5559  1 S 1.67

- Which of these has the highest raw total energy?
  CdSeBr